## GaCuBBr2 (GGA-PBE)

Data for a relaxed GaCuBBr2 crystal.

Summary:
D(E_F) = 0.378 states/eV/atom
formation energy (no corrections) = 0.417 eV per atom
crystal system = tetragonal
V = 22.9 Å³/atom

Lattice parameters (Å, degrees): 5.3929 5.3929 3.9334 90.00 90.00 90.00
Space group P4/mmm (No. 123)
Asymmetric unit:
1 Ga 0.0000 0.0000 0.0000 x1
2 Cu 0.5000 0.5000 0.5000 x1
3 B 0.5000 0.5000 0.0000 x1
4 Br 0.0000 0.5000 0.5000 x2